1.
First-principles (GGA-PBE) data for a relaxed structure of FeTe2Ru, as listed in the Alexandria database.

Unit cell a=3.364 b=5.928 c=5.473 alpha=44.16 beta=90.00 gamma=90.00
Site moments in Bohr magnetons follow the coordinates.
Atoms (fractional coordinates):
Fe (0.500, 0.500, 0.500)  2.44
Ru (0.000, 0.000, 0.500)  0.04
Te (0.000, 0.000, 0.000)  -0.03
Te (0.500, 0.500, 0.000)  -0.03

Properties
Total DFT energy (no corrections) = -5.666 eV/atom
Total moment = 2.4 μB per formula unit
Uncorrected formation energy = 0.339 eV/atom
Offset from the most stable computed form = 365 meV per atom
Crystal system = monoclinic
SG = P2/m, No. 10

=====

2.
First-principles (GGA-PBE) data for a relaxed structure of CsHf2Ir, as listed in the Alexandria database.

Unit cell a=6.275 b=6.275 c=9.212 alpha=70.09 beta=70.09 gamma=90.00
Atoms (fractional coordinates):
Cs (0.500, 0.500, 0.000)
Cs (0.250, 0.750, 0.500)
Ir (0.000, 0.000, 0.000)
Ir (0.750, 0.250, 0.500)
Hf (0.875, 0.125, 0.250)
Hf (0.875, 0.625, 0.250)
Hf (0.375, 0.125, 0.750)
Hf (0.875, 0.125, 0.750)

Properties
Total DFT energy (no corrections) = -6.533 eV/atom
Total moment = 0.0 μB per formula unit
ΔE_f = 872 meV per atom
Offset from the most stable computed form = 104 meV per atom
Crystal system = tetragonal
SG = I4_1/amd, No. 141

=====

3.
First-principles (GGA-PBE) data for a relaxed structure of Cs2HfAgO4, as listed in the Alexandria database.

Unit cell a=5.700 b=7.193 c=11.545 alpha=84.39 beta=75.71 gamma=66.66
Site moments in Bohr magnetons follow the coordinates.
Atoms (fractional coordinates):
Cs (0.177, 0.000, 0.646)  0.00
Cs (0.823, 0.000, 0.354)  0.00
Cs (0.573, 0.500, 0.854)  0.00
Cs (0.927, 0.500, 0.146)  0.00
Hf (0.750, 0.500, 0.500)  -0.05
Hf (0.000, 0.000, 0.000)  -0.05
Ag (0.250, 0.500, 0.500)  0.26
Ag (0.500, 0.000, 0.000)  0.26
O (0.249, 0.826, 0.095)  0.17
O (0.169, 0.174, 0.905)  0.17
O (0.926, 0.826, 0.905)  0.17
O (0.657, 0.174, 0.095)  0.17
O (0.501, 0.674, 0.405)  0.17
O (0.581, 0.326, 0.595)  0.17
O (0.824, 0.674, 0.595)  0.17
O (0.093, 0.326, 0.405)  0.17

Properties
Total DFT energy (no corrections) = -5.951 eV/atom
Total moment = 1.1 μB per formula unit
Uncorrected formation energy = -1.658 eV/atom
Crystal system = orthorhombic
SG = Fddd, No. 70

=====

4.
First-principles (GGA-PBE) data for a relaxed structure of Nd2GaCu, as listed in the Alexandria database.

Unit cell a=3.602 b=3.602 c=7.492 alpha=90.00 beta=90.00 gamma=90.00
Atoms (fractional coordinates):
Nd (0.000, 0.000, 0.757)
Nd (0.000, 0.000, 0.243)
Cu (0.500, 0.500, 0.000)
Ga (0.500, 0.500, 0.500)

Properties
Total DFT energy (no corrections) = -4.504 eV/atom
Total moment = 0.0 μB per formula unit
ΔE_f = -339 meV per atom
Crystal system = tetragonal
SG = P4/mmm, No. 123

=====

5.
First-principles (GGA-PBE) data for a relaxed structure of Ac3ErIn, as listed in the Alexandria database.

Unit cell a=5.292 b=5.278 c=13.509 alpha=90.00 beta=78.70 gamma=90.00
Atoms (fractional coordinates):
Ac (0.768, 0.250, 0.113)
Ac (0.383, 0.250, 0.882)
Ac (0.574, 0.250, 0.501)
Ac (0.265, 0.750, 0.118)
Ac (0.881, 0.750, 0.887)
Ac (0.074, 0.750, 0.499)
Er (0.477, 0.750, 0.694)
Er (0.171, 0.250, 0.306)
In (0.670, 0.750, 0.308)
In (0.978, 0.250, 0.692)

Properties
Total DFT energy (no corrections) = -4.026 eV/atom
Total moment = 0.0 μB per formula unit
ΔE_f = -101 meV per atom
Crystal system = orthorhombic
SG = Cmcm, No. 63

=====

6.
First-principles (GGA-PBE) data for a relaxed structure of Sm2Ho6Er3Mg, as listed in the Alexandria database.

Unit cell a=6.085 b=6.085 c=11.660 alpha=95.01 beta=95.01 gamma=120.03
Atoms (fractional coordinates):
Sm (0.334, 0.666, 0.000)
Sm (0.666, 0.334, 0.000)
Ho (0.917, 0.585, 0.749)
Ho (0.751, 0.751, 0.252)
Ho (0.083, 0.415, 0.251)
Ho (0.585, 0.917, 0.749)
Ho (0.249, 0.249, 0.748)
Ho (0.415, 0.083, 0.251)
Er (0.166, 0.834, 0.500)
Er (0.834, 0.166, 0.500)
Er (0.500, 0.500, 0.500)
Mg (0.000, 0.000, 0.000)

Properties
Total DFT energy (no corrections) = -4.325 eV/atom
Total moment = 0.0 μB per formula unit
ΔE_f = 24 meV per atom
Crystal system = monoclinic
SG = C2/m, No. 12

=====

7.
First-principles (GGA-PBE) data for a relaxed structure of Ti3VCo, as listed in the Alexandria database.

Unit cell a=4.482 b=4.482 c=4.482 alpha=90.00 beta=90.00 gamma=90.00
Site moments in Bohr magnetons follow the coordinates.
Atoms (fractional coordinates):
V (0.500, 0.500, 0.500)  2.39
Co (0.000, 0.000, 0.000)  0.18
Ti (0.000, 0.500, 0.000)  -0.09
Ti (0.000, 0.000, 0.500)  -0.09
Ti (0.500, 0.000, 0.000)  -0.09

Properties
Total DFT energy (no corrections) = -7.521 eV/atom
Total moment = 2.8 μB per formula unit
ΔE_f = 460 meV per atom
Offset from the most stable computed form = 533 meV per atom
Crystal system = cubic
SG = Pm-3m, No. 221

=====

8.
First-principles (GGA-PBE) data for a relaxed structure of BaNaI3, as listed in the Alexandria database.

Unit cell a=5.917 b=5.917 c=5.917 alpha=90.00 beta=90.00 gamma=90.00
Atoms (fractional coordinates):
I (0.000, 0.500, 0.000)
I (0.000, 0.000, 0.500)
I (0.500, 0.000, 0.000)
Na (0.000, 0.000, 0.000)
Ba (0.500, 0.500, 0.500)

Properties
Total DFT energy (no corrections) = -2.907 eV/atom
Total moment = 0.0 μB per formula unit
Uncorrected formation energy = -1.329 eV/atom
Crystal system = cubic
SG = Pm-3m, No. 221

=====

9.
First-principles (GGA-PBE) data for a relaxed structure of Cd3CoS, as listed in the Alexandria database.

Unit cell a=4.957 b=4.957 c=4.957 alpha=90.00 beta=90.00 gamma=90.00
Site moments in Bohr magnetons follow the coordinates.
Atoms (fractional coordinates):
S (0.500, 0.500, 0.500)  0.15
Co (0.000, 0.000, 0.000)  1.09
Cd (0.000, 0.500, 0.000)  -0.01
Cd (0.000, 0.000, 0.500)  -0.01
Cd (0.500, 0.000, 0.000)  0.02

Properties
Total DFT energy (no corrections) = -2.184 eV/atom
Total moment = 1.3 μB per formula unit
Uncorrected formation energy = 0.612 eV/atom
Offset from the most stable computed form = 0 meV per atom
Crystal system = cubic
SG = Pm-3m, No. 221

=====

10.
First-principles (GGA-PBE) data for a relaxed structure of Cs3Rb2PaTe6, as listed in the Alexandria database.

Unit cell a=9.001 b=9.001 c=9.108 alpha=99.75 beta=99.75 gamma=119.44
Site moments in Bohr magnetons follow the coordinates.
Atoms (fractional coordinates):
Cs (0.181, 0.819, 0.500)  0.01
Cs (0.819, 0.181, 0.500)  0.01
Cs (0.500, 0.500, 0.500)  0.01
Rb (0.335, 0.665, 0.000)  0.01
Rb (0.665, 0.335, 0.000)  0.01
Pa (0.000, 0.000, 0.000)  -0.22
Te (0.934, 0.658, 0.799)  0.18
Te (0.802, 0.802, 0.206)  0.20
Te (0.066, 0.342, 0.201)  0.18
Te (0.658, 0.934, 0.799)  0.18
Te (0.198, 0.198, 0.794)  0.20
Te (0.342, 0.066, 0.201)  0.18

Properties
Total DFT energy (no corrections) = -3.646 eV/atom
Total moment = 2.1 μB per formula unit
Uncorrected formation energy = -0.909 eV/atom
Crystal system = monoclinic
SG = C2/m, No. 12

=====

11.
First-principles (GGA-PBE) data for a relaxed structure of Na2Sr12Ca5, as listed in the Alexandria database.

Unit cell a=6.292 b=14.042 c=14.042 alpha=52.67 beta=77.07 gamma=77.07
Atoms (fractional coordinates):
Na (0.000, 0.234, 0.766)
Na (0.000, 0.766, 0.234)
Sr (0.097, 0.903, 0.903)
Sr (0.200, 0.542, 0.058)
Sr (0.200, 0.058, 0.542)
Sr (0.592, 0.644, 0.173)
Sr (0.592, 0.173, 0.644)
Sr (0.088, 0.412, 0.412)
Sr (0.912, 0.588, 0.588)
Sr (0.408, 0.356, 0.827)
Sr (0.408, 0.827, 0.356)
Sr (0.800, 0.458, 0.942)
Sr (0.800, 0.942, 0.458)
Sr (0.903, 0.097, 0.097)
Ca (0.306, 0.194, 0.194)
Ca (0.706, 0.294, 0.294)
Ca (0.500, 0.000, 0.000)
Ca (0.294, 0.706, 0.706)
Ca (0.694, 0.806, 0.806)

Properties
Total DFT energy (no corrections) = -1.679 eV/atom
Total moment = 0.0 μB per formula unit
ΔE_f = 48 meV per atom
Crystal system = orthorhombic
SG = Immm, No. 71

=====

12.
First-principles (GGA-PBE) data for a relaxed structure of AlHg4S6, as listed in the Alexandria database.

Unit cell a=6.996 b=7.384 c=12.633 alpha=73.59 beta=73.93 gamma=61.72
Atoms (fractional coordinates):
Al (0.698, 0.788, 0.401)
Al (0.114, 0.288, 0.901)
Hg (0.313, 0.977, 0.647)
Hg (0.063, 0.477, 0.147)
Hg (0.784, 0.222, 0.453)
Hg (0.542, 0.722, 0.953)
Hg (0.959, 0.668, 0.645)
Hg (0.728, 0.168, 0.145)
Hg (0.628, 0.246, 0.806)
Hg (0.320, 0.746, 0.306)
S (0.402, 0.533, 0.145)
S (0.921, 0.033, 0.645)
S (0.511, 0.593, 0.486)
S (0.410, 0.093, 0.986)
S (0.484, 0.100, 0.450)
S (0.966, 0.600, 0.950)
S (0.919, 0.101, 0.942)
S (0.038, 0.601, 0.442)
S (0.012, 0.145, 0.260)
S (0.583, 0.645, 0.760)
S (0.273, 0.315, 0.719)
S (0.693, 0.815, 0.219)

Properties
Total DFT energy (no corrections) = -2.912 eV/atom
Total moment = 0.0 μB per formula unit
Uncorrected formation energy = -0.210 eV/atom
Crystal system = monoclinic
SG = Cc, No. 9